No. 1
A plane-wave DFT calculation with PBE was carried out for a relaxed structure of NaAg4As2.

Its volume is 20.1 Å³ per atom. As for the density: 7.1 g/cm³.

abc: 8.312 8.312 8.312
angles: 31.70 31.70 31.70
Element x y z (fractional)
Ag 0.142 0.142 0.142
Ag 0.858 0.858 0.858
Ag 0.424 0.424 0.424
Ag 0.576 0.576 0.576
Na 0.000 0.000 0.000
As 0.259 0.259 0.259
As 0.741 0.741 0.741



No. 2
A plane-wave DFT calculation with PBE was carried out for a relaxed structure of NaAg2As2.

Its volume is 21.5 Å³ per atom. As for the density: 6.0 g/cm³.

abc: 6.384 6.384 6.384
angles: 139.81 139.81 58.14
Element x y z (fractional)
Na 0.000 0.000 0.000
As 0.391 0.391 0.000
As 0.609 0.609 0.000
Ag 0.250 0.750 0.500
Ag 0.750 0.250 0.500



No. 3
A plane-wave DFT calculation with PBE was carried out for a relaxed structure of NaAgAs.

Its volume is 22.4 Å³ per atom. As for the density: 5.1 g/cm³.

abc: 4.562 4.562 4.562
angles: 60.00 60.00 60.00
Element x y z (fractional)
Ag 0.250 0.250 0.250
As 0.750 0.750 0.750
Na 0.000 0.000 0.000



No. 4
A plane-wave DFT calculation with PBE was carried out for a relaxed structure of Na2AgAs.

Its volume is 22.8 Å³ per atom. As for the density: 4.2 g/cm³.

abc: 5.731 5.731 5.632
angles: 90.00 90.00 80.02
Element x y z (fractional)
Ag 0.000 0.000 0.000
Ag 0.000 0.000 0.500
Na 0.827 0.529 0.250
Na 0.471 0.173 0.250
Na 0.529 0.827 0.750
Na 0.173 0.471 0.750
As 0.290 0.710 0.250
As 0.710 0.290 0.750



No. 5
A plane-wave DFT calculation with PBE was carried out for a relaxed structure of NaAgAsO4.

Its volume is 14.9 Å³ per atom. As for the density: 4.3 g/cm³.

abc: 9.512 9.512 9.512
angles: 31.55 31.55 31.55
Element x y z (fractional)
O 0.533 0.882 0.247
O 0.636 0.636 0.636
O 0.247 0.533 0.882
O 0.882 0.247 0.533
O 0.364 0.364 0.364
O 0.118 0.753 0.467
O 0.753 0.467 0.118
O 0.467 0.118 0.753
As 0.426 0.426 0.426
As 0.574 0.574 0.574
Ag 0.838 0.838 0.838
Ag 0.162 0.162 0.162
Na 0.285 0.285 0.285
Na 0.715 0.715 0.715



No. 6
A plane-wave DFT calculation with PBE was carried out for a relaxed structure of NaAgAsO.

Its volume is 17.3 Å³ per atom. As for the density: 5.3 g/cm³.

abc: 3.296 7.779 5.398
angles: 90.00 90.00 90.00
Element x y z (fractional)
Na 0.000 0.620 0.002
Na 0.000 0.380 0.502
As 0.000 0.028 0.999
As 0.000 0.972 0.499
O 0.500 0.501 0.752
O 0.500 0.499 0.252
Ag 0.500 0.720 0.500
Ag 0.500 0.280 0.000



No. 7
A plane-wave DFT calculation with PBE was carried out for a relaxed structure of NaAg2AsO4.

Its volume is 14.2 Å³ per atom. As for the density: 5.5 g/cm³.

abc: 5.284 5.284 5.284
angles: 109.45 109.45 109.52
Element x y z (fractional)
Ag 0.250 0.750 0.500
Ag 0.750 0.250 0.500
O 0.330 0.330 0.323
O 0.008 0.008 0.677
O 0.670 0.992 0.000
O 0.992 0.670 0.000
Na 0.500 0.500 0.000
As 0.000 0.000 0.000



No. 8
A plane-wave DFT calculation with PBE was carried out for a relaxed structure of NaAgAsO.

Its volume is 15.2 Å³ per atom. As for the density: 6.1 g/cm³.

abc: 4.248 4.248 6.740
angles: 90.00 90.00 90.00
Element x y z (fractional)
As 0.250 0.250 0.748
As 0.750 0.750 0.252
Na 0.750 0.750 0.851
Na 0.250 0.250 0.149
Ag 0.750 0.250 0.500
Ag 0.250 0.750 0.500
O 0.750 0.250 0.000
O 0.250 0.750 0.000



No. 9
A plane-wave DFT calculation with PBE was carried out for a relaxed structure of NaAgAsO.

Its volume is 18.4 Å³ per atom. As for the density: 5.0 g/cm³.

abc: 4.220 4.220 8.245
angles: 90.00 90.00 90.00
Element x y z (fractional)
Ag 0.500 0.000 0.755
Ag 0.000 0.500 0.245
O 0.000 0.000 0.000
O 0.500 0.500 0.000
As 0.500 0.000 0.090
As 0.000 0.500 0.910
Na 0.000 0.000 0.500
Na 0.500 0.500 0.500



No. 10
A plane-wave DFT calculation with PBE was carried out for a relaxed structure of NaAgAsO.

Its volume is 17.8 Å³ per atom. As for the density: 5.2 g/cm³.

abc: 4.051 7.519 4.669
angles: 90.00 90.00 90.00
Element x y z (fractional)
Ag 0.000 0.199 0.939
Ag 0.000 0.801 0.439
As 0.000 0.439 0.435
As 0.000 0.561 0.935
Na 0.500 0.853 0.941
Na 0.500 0.147 0.441
O 0.500 0.852 0.440
O 0.500 0.148 0.940



No. 11
A plane-wave DFT calculation with PBE was carried out for a relaxed structure of Na4AgAs2Pd.

Its volume is 21.6 Å³ per atom. As for the density: 4.4 g/cm³.

abc: 5.653 5.653 5.540
angles: 90.13 90.13 102.63
Element x y z (fractional)
As 0.704 0.704 0.736
As 0.296 0.296 0.264
Na 0.474 0.833 0.255
Na 0.167 0.526 0.745
Na 0.833 0.474 0.255
Na 0.526 0.167 0.745
Ag 0.000 0.000 0.000
Pd 0.000 0.000 0.500



No. 12
A plane-wave DFT calculation with PBE was carried out for a relaxed structure of Na4AgAs2Pt.

Its volume is 21.6 Å³ per atom. As for the magnetization: 0.000 μB per atom. As for the density: 5.2 g/cm³.

abc: 5.654 5.654 5.549
angles: 90.19 90.19 102.77
Element x y z (fractional)
Na 0.165 0.525 0.257
Na 0.475 0.835 0.743
Na 0.835 0.475 0.743
Na 0.525 0.165 0.257
As 0.295 0.295 0.736
As 0.705 0.705 0.264
Ag 0.000 0.000 0.000
Pt 0.000 0.000 0.500



Final energy values (in eV/atom) by entry order: -3.1955 -3.4025 -2.6096 -2.9145 -5.0723 -3.7784 -4.8888 -3.5981 -3.4053 -3.6846 -3.2112 -3.3426.